No. 1
The following is a meta-GGA SCAN calculation of Li2MgAs at its PBEsol-relaxed geometry, from Alexandria.

The structure in POSCAR format:
```
Li2MgAs
1.0
4.3530 -1.5879 0.0000
4.3530 1.5879 0.0000
-0.7929 0.0000 5.0290
Li Mg As
2 1 1
Direct
0.2363 0.2363 0.2061 Li
0.7637 0.7637 0.7939 Li
0.0000 0.0000 0.5000 Mg
0.5000 0.5000 0.0000 As
```

## Properties
- Energy relative to the elements: -0.33 eV per atom
- Polymorph energy (0 for the lowest one): 192 meV per atom
- Space-group type: C2/m
- N(E_F): 0.247 states/eV/atom
- Magnetic moment: 0.0 Bohr magnetons per cell



No. 2
The following is a meta-GGA SCAN calculation of TlTcPt2 at its PBEsol-relaxed geometry, from Alexandria.

The structure in POSCAR format:
```
TlTcPt2
1.0
2.7711 0.0000 0.0000
0.0000 3.6448 0.0000
-0.7297 0.0000 6.7337
Tl Tc Pt
1 1 2
Direct
0.0000 0.0000 0.0000 Tl
0.0000 0.0000 0.5000 Tc
0.4392 0.5000 0.2922 Pt
0.5608 0.5000 0.7078 Pt
```

## Properties
- Energy relative to the elements: 0.17 eV per atom
- Polymorph energy (0 for the lowest one): 0 meV per atom
- Space-group type: P2/m
- N(E_F): 0.904 states/eV/atom
- Magnetic moment: 0.0 Bohr magnetons per cell



- Among the records above, which one has the highest energy relative to the elements?
  TlTcPt2



- Which value of magnetic moment does entry 2 give?
  0.0 Bohr magnetons per cell



- Look up the N(E_F) of the second one.
  0.904 states/eV/atom